This record from the Alexandria database describes BeVSeO2 after structural relaxation. The functional is GGA+U.

Calculated values
Calculated total energy = -5.239 eV per atom

abc: 3.414 3.414 6.337
angles: 90.00 90.00 90.00
Sites, in units of the cell vectors:
Be 0.000 0.000 0.000
V 0.000 0.000 0.500
Se 0.500 0.500 0.500
O 0.000 0.500 0.000
O 0.500 0.000 0.000